No. 1
Computed, not measured: a geometry-optimized V2MoRu structure at the GGA-PBEsol level of DFT.

Summary:
Density of states at the Fermi level   5.508 states/eV per cell
SG   Fm-3m (225)
VASP energy   -169.0 eV per cell

a b c (Å): 5.998 5.998 5.998
angles (deg): 90.00 90.00 90.00
Fractional positions:
V 0.250 0.250 0.250
V 0.250 0.250 0.750
V 0.250 0.750 0.250
V 0.250 0.750 0.750
V 0.750 0.250 0.250
V 0.750 0.250 0.750
V 0.750 0.750 0.250
V 0.750 0.750 0.750
Mo 0.000 0.000 0.000
Mo 0.000 0.500 0.500
Mo 0.500 0.000 0.500
Mo 0.500 0.500 0.000
Ru 0.000 0.000 0.500
Ru 0.000 0.500 0.000
Ru 0.500 0.000 0.000
Ru 0.500 0.500 0.500

=====

No. 2
Computed, not measured: a geometry-optimized MoRu2W structure at the GGA-PBEsol level of DFT.

Summary:
Density of states at the Fermi level   4.251 states/eV per cell
SG   P4/mmm (123)
VASP energy   -45.7 eV per cell
Energy relative to the lowest polymorph listed for this composition   1 meV per atom

a b c (Å): 3.890 3.890 3.809
angles (deg): 90.00 90.00 90.00
Fractional positions:
Mo 0.000 0.000 0.000
Ru 0.000 0.500 0.500
Ru 0.500 0.000 0.500
W 0.500 0.500 0.000

=====

No. 3
Computed, not measured: a geometry-optimized MoRu2W structure at the GGA-PBEsol level of DFT.

Summary:
Density of states at the Fermi level   3.881 states/eV per cell
SG   Pmmm (47)
VASP energy   -45.7 eV per cell
Energy relative to the lowest polymorph listed for this composition   0 meV per atom

a b c (Å): 2.754 3.802 5.509
angles (deg): 90.00 90.00 90.00
Fractional positions:
Mo 0.000 0.000 0.000
Ru 0.500 0.500 0.249
Ru 0.500 0.500 0.751
W 0.000 0.000 0.500

=====

No. 4
Computed, not measured: a geometry-optimized MoRu2W structure at the GGA-PBEsol level of DFT.

Summary:
Density of states at the Fermi level   8.599 states/eV per cell
SG   Cmmm (65)
VASP energy   -91.3 eV per cell
Energy relative to the lowest polymorph listed for this composition   1 meV per atom

a b c (Å): 5.521 7.590 2.754
angles (deg): 90.00 90.00 90.00
Fractional positions:
Mo 0.000 0.000 0.000
Mo 0.500 0.500 0.000
Ru 0.250 0.250 0.500
Ru 0.250 0.750 0.500
Ru 0.750 0.250 0.500
Ru 0.750 0.750 0.500
W 0.000 0.500 0.000
W 0.500 0.000 0.000

=====

No. 5
Computed, not measured: a geometry-optimized MoRu2W structure at the GGA-PBEsol level of DFT.

Summary:
Density of states at the Fermi level   31.130 states/eV per cell
SG   Fm-3m (225)
VASP energy   -177.6 eV per cell
Energy relative to the lowest polymorph listed for this composition   312 meV per atom

a b c (Å): 6.160 6.160 6.160
angles (deg): 90.00 90.00 90.00
Fractional positions:
Mo 0.000 0.000 0.000
Mo 0.000 0.500 0.500
Mo 0.500 0.000 0.500
Mo 0.500 0.500 0.000
Ru 0.250 0.250 0.250
Ru 0.250 0.250 0.750
Ru 0.250 0.750 0.250
Ru 0.250 0.750 0.750
Ru 0.750 0.250 0.250
Ru 0.750 0.250 0.750
Ru 0.750 0.750 0.250
Ru 0.750 0.750 0.750
W 0.000 0.000 0.500
W 0.000 0.500 0.000
W 0.500 0.000 0.000
W 0.500 0.500 0.500

=====

No. 6
Computed, not measured: a geometry-optimized ZrMo2RuW structure at the GGA-PBEsol level of DFT.

Summary:
Density of states at the Fermi level   5.399 states/eV per cell
SG   P4/mmm (123)
VASP energy   -49.9 eV per cell

a b c (Å): 4.668 4.668 4.613
angles (deg): 90.00 90.00 90.00
Fractional positions:
Zr 0.000 0.000 0.000
Mo 0.000 0.500 0.500
Mo 0.500 0.000 0.500
Ru 0.500 0.500 0.000
W 0.500 0.500 0.500

=====

No. 7
Computed, not measured: a geometry-optimized Y2MoRu structure at the GGA-PBEsol level of DFT.

Summary:
Density of states at the Fermi level   3.893 states/eV per cell
SG   Pmmm (47)
VASP energy   -34.1 eV per cell
Energy relative to the lowest polymorph listed for this composition   22 meV per atom

a b c (Å): 3.405 4.449 5.097
angles (deg): 90.00 90.00 90.00
Fractional positions:
Y 0.000 0.000 0.000
Y 0.500 0.000 0.500
Mo 0.000 0.500 0.500
Ru 0.500 0.500 0.000

=====

No. 8
Computed, not measured: a geometry-optimized Y2MoRu structure at the GGA-PBEsol level of DFT.

Summary:
Density of states at the Fermi level   20.049 states/eV per cell
SG   F-43m (216)
VASP energy   -136.9 eV per cell
Energy relative to the lowest polymorph listed for this composition   0 meV per atom

a b c (Å): 6.716 6.716 6.716
angles (deg): 90.00 90.00 90.00
Fractional positions:
Y 0.000 0.000 0.000
Y 0.000 0.500 0.500
Y 0.250 0.250 0.250
Y 0.250 0.750 0.750
Y 0.500 0.000 0.500
Y 0.500 0.500 0.000
Y 0.750 0.250 0.750
Y 0.750 0.750 0.250
Mo 0.250 0.250 0.750
Mo 0.250 0.750 0.250
Mo 0.750 0.250 0.250
Mo 0.750 0.750 0.750
Ru 0.000 0.000 0.500
Ru 0.000 0.500 0.000
Ru 0.500 0.000 0.000
Ru 0.500 0.500 0.500

=====

Look up the VASP energy of the third one. -45.7 eV per cell